# 1
# RbCr3In (PBEsol, relaxed)
data_RbCr3In
_chemical_formula_sum 'Rb1 Cr3 In1'
_cell_length_a 5.313
_cell_length_b 5.313
_cell_length_c 5.313
_cell_angle_alpha 90.00
_cell_angle_beta 90.00
_cell_angle_gamma 90.00
_space_group_name_H-M_alt 'P 1'
_space_group_IT_number 1
loop_
_space_group_symop_operation_xyz
'x,y,z'
loop_
_atom_site_label
_atom_site_type_symbol
_atom_site_fract_x
_atom_site_fract_y
_atom_site_fract_z
_atom_site_occupancy
Cr1 Cr 0.500 0.000 0.000 1
Cr2 Cr 0.000 0.500 0.000 1
Cr3 Cr 0.000 0.000 0.500 1
Rb1 Rb 0.500 0.500 0.500 1
In1 In 0.000 0.000 0.000 1
# formation enthalpy at 0 K: 1471 meV per atom
# D(E_F): 2.49 states/eV/cell
# mass density: 3.94 g cm⁻³

# 2
# CrInRe (PBEsol, relaxed)
data_CrInRe
_chemical_formula_sum 'Cr1 In1 Re1'
_cell_length_a 4.189
_cell_length_b 4.189
_cell_length_c 4.189
_cell_angle_alpha 60.00
_cell_angle_beta 60.00
_cell_angle_gamma 60.00
_space_group_name_H-M_alt 'P 1'
_space_group_IT_number 1
loop_
_space_group_symop_operation_xyz
'x,y,z'
loop_
_atom_site_label
_atom_site_type_symbol
_atom_site_fract_x
_atom_site_fract_y
_atom_site_fract_z
_atom_site_occupancy
Re1 Re 0.500 0.500 0.500 1
In1 In 0.000 0.000 0.000 1
Cr1 Cr 0.250 0.250 0.250 1
# formation enthalpy at 0 K: 754 meV per atom
# D(E_F): 3.07 states/eV/cell
# energy above the lowest structure with this stoichiometry: 95 kJ/mol of formula units
# mass density: 11.28 g cm⁻³

> Among the records above, which one has the lowest formation enthalpy at 0 K?

CrInRe

> Number 2 is which compound?

CrInRe

> Which of these has the highest mass density?

CrInRe